Entry 1:
Here is a relaxed Ho2MgGa2Ir5 crystal from the Alexandria database. Energies are from PBE-GGA.

POSCAR file:
```
Ho2MgGa2Ir5
1.0
3.598 0.000 0.000
0.000 9.773 0.000
0.000 0.000 9.773
Ho Mg Ga Ir
4 2 4 10
direct
0.000 0.674 0.174
0.000 0.326 0.826
0.000 0.174 0.326
0.000 0.826 0.674
0.000 0.000 0.000
0.000 0.500 0.500
0.000 0.126 0.626
0.000 0.874 0.374
0.000 0.626 0.874
0.000 0.374 0.126
0.500 0.205 0.066
0.500 0.795 0.934
0.500 0.066 0.795
0.500 0.705 0.434
0.500 0.934 0.205
0.500 0.295 0.566
0.500 0.566 0.705
0.500 0.434 0.295
0.500 0.500 0.000
0.500 0.000 0.500
```

Properties
- E_tot: -134.08 eV/cell
- Space-group type: P4/mbm, No. 127
- Calculated formation energy: -593 meV per atom
- Calculated density: 14.1 g/cm³


Entry 2:
Here is a relaxed SrTcAs2 crystal from the Alexandria database. Energies are from PBE-GGA.

POSCAR file:
```
SrTcAs2
1.0
5.920 -0.024 0.296
-0.003 4.285 0.459
-1.725 -2.498 3.036
Sr As Tc
1 2 1
direct
0.750 0.250 0.500
0.108 0.037 0.073
0.392 0.463 0.927
0.250 0.750 0.500
```

Properties
- E_tot: -23.12 eV/cell
- Space-group type: C2/m, No. 12
- Calculated formation energy: -443 meV per atom
- Calculated density: 6.5 g/cm³
- Energy above the most stable polymorph in this dataset: 0.00 eV/f.u.


Entry 3:
Here is a relaxed V3HRh crystal from the Alexandria database. Energies are from PBE-GGA.

POSCAR file:
```
V3HRh
1.0
3.840 0.000 0.000
0.000 3.840 0.000
0.000 0.000 3.840
H Rh V
1 1 3
direct
0.000 0.000 0.000
0.500 0.500 0.500
0.000 0.500 0.000
0.000 0.000 0.500
0.500 0.000 0.000
```

Properties
- E_tot: -38.89 eV/cell
- Space-group type: Pm-3m, No. 221
- Calculated density: 7.5 g/cm³
- Energy above the most stable polymorph in this dataset: 0.01 eV/f.u.


Entry 4:
Here is a relaxed AgAs2O6 crystal from the Alexandria database. Energies are from PBE-GGA.

POSCAR file:
```
AgAs2O6
1.0
5.425 0.115 0.111
1.720 7.151 0.291
1.720 0.523 7.138
Ag As O
2 4 12
direct
0.250 0.123 0.877
0.750 0.877 0.123
0.256 0.631 0.818
0.244 0.182 0.369
0.744 0.369 0.182
0.756 0.818 0.631
0.549 0.658 0.648
0.951 0.352 0.342
0.451 0.342 0.352
0.049 0.648 0.658
0.803 0.925 0.410
0.697 0.590 0.075
0.197 0.075 0.590
0.303 0.410 0.925
0.149 0.814 0.957
0.351 0.043 0.186
0.851 0.186 0.043
0.649 0.957 0.814
```

Properties
- E_tot: -98.77 eV/cell
- Space-group type: C2/c, No. 15
- Calculated density: 4.3 g/cm³
- Formation energy without anion corrections: -0.832 eV/atom


Entry 5:
Here is a relaxed TbMgZr2 crystal from the Alexandria database. Energies are from PBE-GGA.

POSCAR file:
```
TbMgZr2
1.0
-3.356 -2.398 -2.144
2.531 -3.805 0.294
-1.907 -0.955 4.053
Mg Tb Zr
1 1 2
direct
0.500 0.500 0.500
0.500 0.000 0.000
0.000 0.000 0.500
0.000 0.500 0.000
```

Properties
- E_tot: -22.95 eV/cell
- Space-group type: P4/mmm, No. 123
- Calculated formation energy: 92 meV per atom
- Calculated density: 6.2 g/cm³
- Energy above the most stable polymorph in this dataset: 0.00 eV/f.u.


Entry 6:
Here is a relaxed VZnRe2Br crystal from the Alexandria database. Energies are from PBE-GGA.

POSCAR file:
```
VZnRe2Br
1.0
4.641 0.000 0.000
0.000 4.804 0.000
0.000 0.000 4.641
Re Zn Br V
2 1 1 1
direct
0.000 0.000 0.500
0.500 0.000 0.000
0.500 0.500 0.500
0.000 0.500 0.000
0.000 0.000 0.000
```

Properties
- E_tot: -28.56 eV/cell
- Space-group type: P4/mmm, No. 123
- Calculated density: 9.1 g/cm³
- Formation energy without anion corrections: 1.681 eV/atom


Entry 7:
Here is a relaxed NbCd2Pd3 crystal from the Alexandria database. Energies are from PBE-GGA.

POSCAR file:
```
NbCd2Pd3
1.0
2.940 0.000 0.000
0.000 2.940 0.000
0.000 0.000 11.880
Nb Cd Pd
1 2 3
direct
0.500 0.500 0.500
0.500 0.500 0.834
0.500 0.500 0.166
0.000 0.000 0.000
0.000 0.000 0.662
0.000 0.000 0.338
```

Properties
- E_tot: -29.71 eV/cell
- Space-group type: P4/mmm, No. 123
- Calculated formation energy: -372 meV per atom
- Calculated density: 10.3 g/cm³


Entry 8:
Here is a relaxed LiAcGe2Pt crystal from the Alexandria database. Energies are from PBE-GGA.

POSCAR file:
```
LiAcGe2Pt
1.0
-2.532 2.029 2.986
-3.109 0.628 -3.063
0.619 -5.966 1.323
Li Ac Ge Pt
1 1 2 1
direct
0.250 0.750 0.500
0.000 0.000 0.000
0.622 0.622 0.245
0.378 0.378 0.755
0.750 0.250 0.500
```

Properties
- E_tot: -25.28 eV/cell
- Space-group type: I-4m2, No. 119
- Calculated formation energy: -796 meV per atom
- Calculated density: 9.3 g/cm³


Entry 9:
Here is a relaxed Ba2PuSn4Au3 crystal from the Alexandria database. Energies are from PBE-GGA.

POSCAR file:
```
Ba2PuSn4Au3
1.0
4.780 0.000 0.000
0.000 4.780 0.000
0.000 0.000 12.652
Ba Pu Sn Au
2 1 4 3
direct
0.500 0.000 0.236
0.000 0.500 0.764
0.500 0.500 0.500
0.500 0.500 0.000
0.000 0.000 0.000
0.500 0.000 0.654
0.000 0.500 0.346
0.000 0.000 0.500
0.500 0.000 0.874
0.000 0.500 0.126
```

Properties
- E_tot: -48.86 eV/cell
- Space-group type: P-4m2, No. 115
- Calculated formation energy: -484 meV per atom
- Calculated density: 9.1 g/cm³


Entry 10:
Here is a relaxed AgP2Cl crystal from the Alexandria database. Energies are from PBE-GGA.

POSCAR file:
```
AgP2Cl
1.0
-4.278 -1.150 3.970
2.302 -0.441 2.352
-0.035 4.150 1.164
Ag Cl P
1 1 2
direct
0.500 0.250 0.250
0.500 0.750 0.750
0.000 0.016 0.090
0.000 0.484 0.410
```

Properties
- E_tot: -15.30 eV/cell
- Space-group type: P2/m, No. 10
- Calculated density: 4.0 g/cm³
- Formation energy without anion corrections: 0.054 eV/atom
- Energy above the most stable polymorph in this dataset: 0.68 eV/f.u.


Entry 11:
Here is a relaxed Pu2Si4Ir3Ru crystal from the Alexandria database. Energies are from PBE-GGA.

POSCAR file:
```
Pu2Si4Ir3Ru
1.0
-3.358 2.360 0.770
0.164 -1.081 4.031
5.776 7.626 1.810
Pu Si Ir Ru
2 4 3 1
direct
0.500 0.000 0.248
0.000 0.500 0.752
0.500 0.500 0.000
0.000 0.000 0.000
0.500 0.000 0.625
0.000 0.500 0.375
0.000 0.000 0.500
0.500 0.000 0.873
0.000 0.500 0.127
0.500 0.500 0.500
```

Properties
- E_tot: -94.43 eV/cell
- Space-group type: P-4m2, No. 115
- Calculated density: 12.5 g/cm³
- Formation energy without anion corrections: -0.821 eV/atom


Entry 12:
Here is a relaxed Tb12Nd2Er5 crystal from the Alexandria database. Energies are from PBE-GGA.

POSCAR file:
```
Tb12Nd2Er5
1.0
-0.633 -5.710 -2.228
2.815 1.671 -10.757
5.835 -0.693 14.354
Tb Nd Er
12 2 5
direct
0.105 0.159 0.292
0.315 0.471 0.868
0.790 0.681 0.920
0.054 0.581 0.396
0.527 0.790 0.447
0.367 0.052 0.761
0.633 0.948 0.239
0.946 0.419 0.604
0.473 0.210 0.553
0.685 0.529 0.132
0.210 0.319 0.080
0.895 0.841 0.708
0.736 0.107 0.026
0.264 0.893 0.974
0.421 0.629 0.656
0.158 0.738 0.185
0.000 0.000 0.500
0.842 0.262 0.815
0.579 0.371 0.344
```

Properties
- E_tot: -87.53 eV/cell
- Space-group type: P-1, No. 2
- Calculated formation energy: 20 meV per atom
- Calculated density: 8.3 g/cm³
- Energy above the most stable polymorph in this dataset: 0.00 eV/f.u.


Entry 13:
Here is a relaxed ScH4Ru crystal from the Alexandria database. Energies are from PBE-GGA.

POSCAR file:
```
ScH4Ru
1.0
3.607 -0.045 0.000
1.380 3.333 0.000
0.000 0.000 8.043
Sc H Ru
2 8 2
direct
0.000 0.000 0.500
0.000 0.000 0.000
0.845 0.334 0.750
0.656 0.656 0.039
0.656 0.656 0.461
0.344 0.344 0.539
0.344 0.344 0.961
0.335 0.845 0.750
0.666 0.155 0.250
0.155 0.665 0.250
0.659 0.659 0.250
0.341 0.341 0.750
```

Properties
- E_tot: -61.96 eV/cell
- Space-group type: Cmcm, No. 63
- Calculated density: 5.1 g/cm³
- Energy above the most stable polymorph in this dataset: 0.21 eV/f.u.


Entry 14:
Here is a relaxed Sm4TmPb5 crystal from the Alexandria database. Energies are from PBE-GGA.

POSCAR file:
```
Sm4TmPb5
1.0
-3.716 -3.945 -3.349
-3.669 -5.360 4.327
-7.355 2.480 -0.820
Sm Tm Pb
4 1 5
direct
0.404 0.398 0.796
0.802 0.796 0.602
0.199 0.204 0.398
0.597 0.602 0.204
0.003 0.000 0.000
0.900 0.395 0.806
0.295 0.806 0.605
0.706 0.194 0.395
0.101 0.605 0.194
0.503 0.000 0.000
```

Properties
- E_tot: -45.54 eV/cell
- Space-group type: I4, No. 79
- Calculated formation energy: -365 meV per atom
- Calculated density: 9.3 g/cm³


Entry 15:
Here is a relaxed Th3CuGe crystal from the Alexandria database. Energies are from PBE-GGA.

POSCAR file:
```
Th3CuGe
1.0
-2.265 -2.730 -1.843
7.234 -3.515 0.661
-2.462 -3.008 7.484
Th Cu Ge
6 2 2
direct
0.065 0.163 0.392
0.423 0.879 0.657
0.621 0.275 0.764
0.979 0.991 0.029
0.265 0.564 0.029
0.779 0.590 0.392
0.233 0.501 0.639
0.811 0.654 0.783
0.416 0.865 0.285
0.628 0.289 0.136
```

Properties
- E_tot: -65.00 eV/cell
- Space-group type: P-1, No. 2
- Calculated formation energy: -306 meV per atom
- Calculated density: 10.5 g/cm³


Entry 16:
Here is a relaxed Sr2ThGe3Pt4 crystal from the Alexandria database. Energies are from PBE-GGA.

POSCAR file:
```
Sr2ThGe3Pt4
1.0
-1.450 3.848 -1.797
0.431 -1.755 -4.107
-10.450 -3.708 0.489
Sr Th Ge Pt
2 1 3 4
direct
0.500 0.000 0.223
0.000 0.500 0.777
0.500 0.500 0.500
0.000 0.000 0.500
0.500 0.000 0.886
0.000 0.500 0.114
0.500 0.500 0.000
0.000 0.000 0.000
0.500 0.000 0.660
0.000 0.500 0.340
```

Properties
- E_tot: -57.19 eV/cell
- Space-group type: P-4m2, No. 115
- Calculated formation energy: -839 meV per atom
- Calculated density: 10.4 g/cm³


Entry 17:
Here is a relaxed LaCd2Fe crystal from the Alexandria database. Energies are from PBE-GGA.

POSCAR file:
```
LaCd2Fe
1.0
5.454 -0.682 1.036
3.914 3.859 1.036
2.858 0.969 4.704
Cd Fe La
2 1 1
direct
0.034 0.034 0.034
0.779 0.779 0.780
0.433 0.433 0.434
0.253 0.253 0.251
```

Properties
- E_tot: -14.87 eV/cell
- Space-group type: Cm, No. 8
- Calculated formation energy: 89 meV per atom
- Calculated density: 7.2 g/cm³


Entry 18:
Here is a relaxed CaSc2Se crystal from the Alexandria database. Energies are from PBE-GGA.

POSCAR file:
```
CaSc2Se
1.0
6.265 0.000 0.000
3.358 5.289 0.000
-4.811 -2.644 3.018
Sc Ca Se
2 1 1
direct
0.000 0.000 0.000
0.500 0.500 0.000
0.750 0.250 0.500
0.250 0.750 0.500
```

Properties
- E_tot: -19.69 eV/cell
- Space-group type: I4/mmm, No. 139
- Calculated density: 3.5 g/cm³
- Formation energy without anion corrections: -0.385 eV/atom


Entry 19:
Here is a relaxed BaRu2F crystal from the Alexandria database. Energies are from PBE-GGA.

POSCAR file:
```
BaRu2F
1.0
-3.337 -0.227 3.379
-4.128 2.287 -0.578
-3.995 -2.462 -0.765
Ru Ba F
2 1 1
direct
0.250 0.250 0.250
0.750 0.750 0.750
0.500 0.500 0.500
0.000 0.000 0.000
```

Properties
- E_tot: -18.70 eV/cell
- Space-group type: Fm-3m, No. 225
- Calculated density: 7.8 g/cm³
- Formation energy without anion corrections: 0.911 eV/atom
- Energy above the most stable polymorph in this dataset: 6.12 eV/f.u.


Entry 20:
Here is a relaxed Sc6Zn3Co crystal from the Alexandria database. Energies are from PBE-GGA.

POSCAR file:
```
Sc6Zn3Co
1.0
4.744 0.000 0.000
0.000 7.773 -2.670
0.000 -0.034 10.380
Sc Zn Co
12 6 2
direct
0.250 0.471 0.089
0.750 0.529 0.911
0.250 0.123 0.151
0.750 0.877 0.849
0.250 0.679 0.665
0.750 0.321 0.335
0.250 0.233 0.498
0.750 0.767 0.502
0.250 0.848 0.330
0.750 0.152 0.670
0.250 0.116 0.853
0.750 0.884 0.147
0.250 0.515 0.370
0.750 0.485 0.630
0.250 0.415 0.781
0.750 0.585 0.219
0.250 0.768 0.972
0.750 0.232 0.028
0.250 0.960 0.593
0.750 0.040 0.407
```

Properties
- E_tot: -103.29 eV/cell
- Space-group type: P2_1/m, No. 11
- Calculated formation energy: -273 meV per atom
- Calculated density: 4.6 g/cm³